[1]
A geometry-optimized Hg5C structure, computed with PBE-GGA.

Geometry as POSCAR:
```
Hg5C
1.0
-1.126 2.775 -4.680
-1.906 -5.174 0.689
-4.955 2.154 2.469
C Hg
1 5
Cartesian
0.000 0.000 0.000
-1.386 0.126 -2.890
-1.646 -2.524 -1.101
-3.040 2.465 -1.105
-3.431 -1.510 1.579
-3.993 -0.122 -0.761
```

[2]
A geometry-optimized HgC structure, computed with PBE-GGA.

Geometry as POSCAR:
```
HgC
1.0
-3.569 -0.410 0.711
-2.410 -0.152 -2.753
-1.674 -3.158 -0.795
C Hg
1 1
Cartesian
0.000 0.000 0.000
-1.913 -0.930 -0.709
```

[3]
A geometry-optimized HgC structure, computed with PBE-GGA.

Geometry as POSCAR:
```
HgC
1.0
1.727 0.997 2.840
-1.727 0.997 2.840
0.000 -1.995 2.840
C Hg
1 1
Cartesian
0.000 0.000 0.000
0.000 0.000 4.261
```

[4]
A geometry-optimized HgC structure, computed with PBE-GGA.

Geometry as POSCAR:
```
HgC
1.0
-2.862 -0.803 1.782
-3.122 0.736 -1.312
-2.065 -2.558 -1.099
C Hg
1 1
Cartesian
0.000 0.000 0.000
-4.025 -1.312 -0.315
```

[5]
A geometry-optimized HgC structure, computed with PBE-GGA.

Geometry as POSCAR:
```
HgC
1.0
-4.152 0.284 4.452
4.704 -3.847 0.461
1.417 1.878 1.202
C Hg
2 2
Cartesian
0.000 0.000 0.000
0.709 0.939 0.601
-0.845 -0.623 3.422
2.815 -1.062 2.693
```

[6]
A geometry-optimized Hg4C3 structure, computed with PBE-GGA.

Geometry as POSCAR:
```
Hg4C3
1.0
1.913 -2.454 10.348
5.157 -2.891 9.045
4.063 0.316 10.008
C Hg
3 4
Cartesian
0.023 -0.010 0.059
4.675 -2.112 12.346
6.505 -2.939 17.181
1.479 -0.668 3.906
3.247 -1.467 8.576
7.932 -3.584 20.949
9.703 -4.384 25.626
```

no.,DFT total energy (eV/atom)
1,-0.50
2,-2.49
3,-2.46
4,-2.46
5,-4.14
6,-2.13